1.
Below is an optimized crystal structure of Ga2TcGeAs, with properties calculated at the GGA-PBE level. Values from VASP.

Quantum ESPRESSO input file:
```
&SYSTEM
  ibrav = 0, nat = 5, ntyp = 4
/
ATOMIC_SPECIES
Ga 69.72 Ga.upf
Tc 98.00 Tc.upf
Ge 72.64 Ge.upf
As 74.92 As.upf
CELL_PARAMETERS angstrom
4.7997 0.0000 0.0000
0.0000 5.0510 0.0000
0.0000 0.0000 4.7997
ATOMIC_POSITIONS angstrom
Ga 2.3998 0.0000 0.0000
Ga 0.0000 0.0000 2.3998
Tc 2.3998 2.5255 2.3998
Ge 0.0000 0.0000 0.0000
As 0.0000 2.5255 0.0000
```

Output
Energy relative to the elements = 1131.5 meV per atom
VASP energy = -4.01 eV per atom
Mass density = 5.5 g/cm3

2.
Below is an optimized crystal structure of SmInPb2Cl8, with properties calculated at the GGA-PBE level. Values from VASP.

Quantum ESPRESSO input file:
```
&SYSTEM
  ibrav = 0, nat = 12, ntyp = 4
/
ATOMIC_SPECIES
Cl 35.45 Cl.upf
In 114.82 In.upf
Sm 150.36 Sm.upf
Pb 207.20 Pb.upf
CELL_PARAMETERS angstrom
-3.1483 5.6163 -2.4705
-5.9030 -2.9302 0.6326
-0.7244 3.2574 8.3286
ATOMIC_POSITIONS angstrom
Cl -6.6339 3.1268 3.0328
Cl -3.2014 4.2839 7.7116
Cl -4.5521 6.5718 4.5900
Cl -5.2235 -0.6283 1.9007
Cl -4.1440 4.7362 -0.1035
Cl -6.5742 1.6595 -1.2209
Cl -5.6316 1.2073 6.5942
Cl -3.1417 2.8167 3.4579
In -0.3622 1.6287 4.1643
Sm 0.0000 0.0000 0.0000
Pb -5.0669 3.7769 5.3040
Pb -4.7087 2.1666 1.1867
```

Output
VASP energy = -3.93 eV per atom
Mass density = 3.9 g/cm3
Raw formation energy = -1463 meV per atom

3.
Below is an optimized crystal structure of CsTc2Pb2, with properties calculated at the GGA-PBE level. Values from VASP.

Quantum ESPRESSO input file:
```
&SYSTEM
  ibrav = 0, nat = 10, ntyp = 3
/
ATOMIC_SPECIES
Pb 207.20 Pb.upf
Tc 98.00 Tc.upf
Cs 132.91 Cs.upf
CELL_PARAMETERS angstrom
9.3857 0.0000 0.0000
0.0000 9.3857 0.0000
0.0000 0.0000 3.2113
ATOMIC_POSITIONS angstrom
Pb 3.0820 1.6109 1.6057
Pb 6.3037 7.7749 1.6057
Pb 7.7749 3.0820 1.6057
Pb 1.6109 6.3037 1.6057
Tc 5.4613 0.7684 0.0000
Tc 3.9245 8.6173 0.0000
Tc 8.6173 5.4613 0.0000
Tc 0.7684 3.9245 0.0000
Cs 4.6929 4.6929 0.0000
Cs 0.0000 0.0000 0.0000
```

Output
Energy relative to the elements = 660.7 meV per atom
VASP energy = -5.14 eV per atom
Mass density = 8.7 g/cm3

4.
Below is an optimized crystal structure of Cu4Pt3Au, with properties calculated at the GGA-PBE level. Values from VASP.

Quantum ESPRESSO input file:
```
&SYSTEM
  ibrav = 0, nat = 8, ntyp = 3
/
ATOMIC_SPECIES
Pt 195.08 Pt.upf
Au 196.97 Au.upf
Cu 63.55 Cu.upf
CELL_PARAMETERS angstrom
-2.1143 0.7801 -3.2399
-3.3179 -0.8534 1.9596
2.1344 6.9943 2.6951
ATOMIC_POSITIONS angstrom
Pt -1.9498 3.0444 2.0054
Pt -1.6589 -0.4267 0.9798
Pt -1.3480 3.8766 -0.5906
Au -1.0571 0.3901 -1.6200
Cu -0.4356 5.1916 1.5344
Cu -2.8621 1.7294 -0.1196
Cu -3.1502 5.1554 0.8933
Cu -0.1476 1.7656 0.5214
```

Output
Energy relative to the elements = -128.0 meV per atom
VASP energy = -4.85 eV per atom
Mass density = 15.2 g/cm3

5.
Below is an optimized crystal structure of TbPm2Dy7, with properties calculated at the GGA-PBE level. Values from VASP.

Quantum ESPRESSO input file:
```
&SYSTEM
  ibrav = 0, nat = 10, ntyp = 3
/
ATOMIC_SPECIES
Dy 162.50 Dy.upf
Pm 145.00 Pm.upf
Tb 158.93 Tb.upf
CELL_PARAMETERS angstrom
-2.6531 2.1097 -0.9228
-3.7994 -9.4570 -10.6974
-0.3901 5.5045 13.7059
ATOMIC_POSITIONS angstrom
Dy -2.6942 -1.3891 -2.1169
Dy -4.1484 -0.4536 4.2027
Dy -2.0244 1.5503 2.6774
Dy -3.4213 -0.9214 1.0429
Dy -4.8182 -3.3930 -0.5917
Dy -3.1672 -6.6830 -6.1729
Dy -1.0222 2.7305 9.1814
Pm -4.1289 -4.0269 -4.0224
Pm -2.7136 2.1841 6.1082
Tb 0.0000 0.0000 0.0000
```

Output
Energy relative to the elements = 159.8 meV per atom
Energy above the most stable polymorph in this dataset = 1.43 eV/f.u.
VASP energy = -4.47 eV per atom
Mass density = 8.0 g/cm3

6.
Below is an optimized crystal structure of Al2FeW, with properties calculated at the GGA-PBE level. Values from VASP.

Quantum ESPRESSO input file:
```
&SYSTEM
  ibrav = 0, nat = 4, ntyp = 3
/
ATOMIC_SPECIES
Al 26.98 Al.upf
Fe 55.84 Fe.upf
W 183.84 W.upf
CELL_PARAMETERS angstrom
-1.4121 -3.1754 1.6729
3.5423 -1.5010 0.1411
0.5304 1.5748 3.4370
ATOMIC_POSITIONS angstrom
Al 1.0651 -2.3382 0.9070
Al 0.0000 0.0000 0.0000
Fe -0.4409 -0.8003 2.5549
W 2.0364 0.0369 1.7890
```

Output
Energy relative to the elements = -55.8 meV per atom
Energy above the most stable polymorph in this dataset = 0.34 eV/f.u.
VASP energy = -7.28 eV per atom
Mass density = 8.6 g/cm3

7.
Below is an optimized crystal structure of Li4TlCd15, with properties calculated at the GGA-PBE level. Values from VASP.

Quantum ESPRESSO input file:
```
&SYSTEM
  ibrav = 0, nat = 20, ntyp = 3
/
ATOMIC_SPECIES
Cd 112.41 Cd.upf
Li 6.94 Li.upf
Tl 204.38 Tl.upf
CELL_PARAMETERS angstrom
-4.3228 0.0798 -0.6552
0.1913 -4.0030 -1.7497
-3.2657 -9.0893 20.4374
ATOMIC_POSITIONS angstrom
Cd -1.5372 -6.5461 9.3439
Cd -0.9059 -4.7891 5.3931
Cd -4.6416 -9.1309 14.9180
Cd -2.7556 -3.8815 3.1145
Cd -2.5351 -1.0001 2.0109
Cd -5.0534 -8.0093 17.7713
Cd -4.0159 -7.3894 11.0021
Cd -2.0658 -1.9616 -1.2025
Cd -2.1685 -8.3032 13.2946
Cd -4.4255 -6.2617 13.8418
Cd -0.2780 -3.0415 1.4636
Cd -3.1630 -2.7477 5.9404
Cd -2.7964 -10.0508 17.2241
Cd -3.7942 -4.5047 9.8911
Cd -3.3813 -5.6231 7.0304
Li -0.6871 -1.9123 4.2998
Li -2.5786 -7.1770 16.1377
Li -1.9470 -5.4189 12.1845
Li -1.3187 -3.6704 8.2529
Tl 0.0000 0.0000 0.0000
```

Output
Energy relative to the elements = -112.0 meV per atom
VASP energy = -1.30 eV per atom
Mass density = 7.4 g/cm3

8.
Below is an optimized crystal structure of SrSc2Al, with properties calculated at the GGA-PBE level. Values from VASP.

Quantum ESPRESSO input file:
```
&SYSTEM
  ibrav = 0, nat = 4, ntyp = 3
/
ATOMIC_SPECIES
Sr 87.62 Sr.upf
Sc 44.96 Sc.upf
Al 26.98 Al.upf
CELL_PARAMETERS angstrom
10.7177 0.0035 0.0020
10.1496 3.4431 0.0020
10.1496 1.6764 3.0074
ATOMIC_POSITIONS angstrom
Sr 7.7542 1.2807 0.7529
Sc 14.9600 2.4709 1.4525
Sc 0.5484 0.0906 0.0532
Al 23.2627 3.8422 2.2586
```

Output
Energy relative to the elements = 116.2 meV per atom
VASP energy = -4.41 eV per atom
Mass density = 3.1 g/cm3

The highest VASP energy belongs to which entry?
Li4TlCd15